The following is a PBE calculation of a relaxed LaSn2O crystal, from the Alexandria database.

Properties
Symmetry = I-42d
Electronic total energy = -5.46 eV/atom
E_form (uncorrected) = -0.99 eV/atom

a = 7.604 Å, b = 7.604 Å, c = 7.604 Å
α = 94.89°, β = 94.89°, γ = 146.06°
Atoms (fractional coordinates):
La 0.000 0.000 0.000
La 0.750 0.250 0.500
Sn 0.213 0.625 0.088
Sn 0.375 0.463 0.588
Sn 0.537 0.125 0.912
Sn 0.875 0.787 0.412
O 0.250 0.750 0.500
O 0.500 0.500 0.000